Mg3Cd4Hg4 | GGA-PBE | relaxed

The value obtained for the total magnetization is 0.00 μB/f.u. Its formation energy is -8 kJ per mole of atoms. As for the theoretical density: 8689 kg/m3. The calculation puts the density of states at the Fermi level at 5.69 states/eV/cell. The calculation puts the energy relative to the lowest polymorph listed for this composition at 11 meV per atom.

Cell: 3.3362 8.0349 18.8912 Å, 90.00 90.00 90.00°
Last column: nearest neighbours and their distance in Å.
Space group Immm (No. 71)
Asymmetric unit:
Mg: 0.0000 0.0000 0.0000 (multiplicity 2)  4 Hg 2.94
Mg: 0.0000 0.5000 0.1046 (multiplicity 4)  6 Hg 2.99-3.04, 4 Cd 3.16, 2 Mg 3.34
Cd: 0.0000 0.3162 0.3497 (multiplicity 8)  1 Cd 2.95, 4 Hg 2.99-3.09, 2 Mg 3.16
Hg: 0.0000 0.0000 0.2637 (multiplicity 4)  2 Mg 2.99, 6 Cd 3.02-3.09, 2 Hg 3.34
Hg: 0.0000 0.1992 0.5000 (multiplicity 4)  6 Mg 2.94-3.04, 2 Cd 2.99, 1 Hg 3.20



YCoPS2 | GGA-PBE | relaxed

The value obtained for the total magnetization is 0.00 μB/f.u. As for the theoretical density: 4452 kg/m3. The calculation puts the density of states at the Fermi level at 3.33 states/eV/cell. The value obtained for the raw formation energy is -0.545 eV per atom. The calculation puts the energy relative to the lowest polymorph listed for this composition at 0 meV per atom.

Cell: 4.6861 4.6861 4.1265 Å, 90.00 90.00 90.00°
Last column: nearest neighbours and their distance in Å.
Space group P4/mmm (No. 123)
Asymmetric unit:
Y: 0.0000 0.0000 0.0000 (multiplicity 1)  8 S 3.12, 4 P 3.31
Co: 0.5000 0.5000 0.5000 (multiplicity 1)  2 P 2.06
P: 0.5000 0.5000 0.0000 (multiplicity 1)  2 Co 2.06
S: 0.0000 0.5000 0.5000 (multiplicity 2)  2 Co 2.34



Dy2BiH2 | GGA-PBE | relaxed

The value obtained for the total magnetization is 0.00 μB/f.u. As for the theoretical density: 9893 kg/m3. The calculation puts the density of states at the Fermi level at 17.66 states/eV/cell. The calculation puts the energy relative to the lowest polymorph listed for this composition at 29 meV per atom.

Cell: 6.3600 10.0838 11.2230 Å, 90.00 90.00 90.00°
Last column: nearest neighbours and their distance in Å.
Space group Fddd (No. 70, origin choice 2)
Asymmetric unit:
Dy: 0.1250 0.3037 0.1250 (multiplicity 16)  4 H 2.26
Bi: 0.1250 0.1250 0.6250 (multiplicity 8)  6 Dy 3.24-3.30, 8 H 3.31-3.46
H: 0.1250 0.1250 0.0033 (multiplicity 16)  4 Dy 2.26



Pm3Cd2BRh3 | GGA-PBE | relaxed

The value obtained for the total magnetization is 0.00 μB/f.u. Its formation energy is -37 kJ per mole of atoms. As for the theoretical density: 8755 kg/m3. The calculation puts the density of states at the Fermi level at 5.71 states/eV/cell.

Cell: 7.7556 7.7556 3.5658 Å, 90.00 90.00 120.00°
Last column: nearest neighbours and their distance in Å.
Space group P-62m (No. 189)
Asymmetric unit:
Pm: 0.0000 0.3497 0.0000 (multiplicity 3)  1 B 2.71, 4 Rh 2.96
Cd: 0.3333 0.6667 0.5000 (multiplicity 2)  6 Pm 3.09, 3 Rh 3.20
B: 0.0000 0.0000 0.0000 (multiplicity 1)  6 Rh 2.39
Rh: 0.0000 0.7940 0.5000 (multiplicity 3)  2 B 2.39



Sc2TaTeP | GGA-PBE | relaxed

The value obtained for the total magnetization is 0.45 μB/f.u. As for the theoretical density: 5170 kg/m3. The calculation puts the density of states at the Fermi level at 7.09 states/eV/cell. The value obtained for the raw formation energy is 0.898 eV per atom.

Cell: 5.2453 5.2453 5.0130 Å, 90.00 90.00 90.00°
Last column: nearest neighbours and their distance in Å.
Space group P4/mmm (No. 123)
Asymmetric unit:
Sc: 0.0000 0.5000 0.0000 (multiplicity 2)  2 Te 2.62
Ta: 0.0000 0.0000 0.5000 (multiplicity 1)  2 Te 2.51
Te: 0.0000 0.0000 0.0000 (multiplicity 1)  2 Ta 2.51, 4 Sc 2.62
P: 0.5000 0.5000 0.5000 (multiplicity 1)  8 Sc 3.63, 4 Ta 3.71



CdTcNi2 | GGA-PBE | relaxed

The value obtained for the total magnetization is 2.61 μB/f.u. Its formation energy is 29 kJ per mole of atoms. As for the theoretical density: 9634 kg/m3. The calculation puts the density of states at the Fermi level at 8.72 states/eV/cell.

Cell: 4.0507 4.0507 6.8870 Å, 90.00 90.00 90.00°
Last column: nearest neighbours and their distance in Å.
Space group I4/mmm (No. 139)
Asymmetric unit:
Cd: 0.0000 0.0000 0.0000 (multiplicity 2)  8 Ni 2.66, 4 Tc 2.86
Tc: 0.0000 0.0000 0.5000 (multiplicity 2)  8 Ni 2.66, 4 Cd 2.86
Ni: 0.0000 0.5000 0.2500 (multiplicity 4)  4 Cd 2.66, 4 Tc 2.66, 4 Ni 2.86



NpMn2Ir | GGA-PBE | relaxed

The value obtained for the total magnetization is 7.03 μB/f.u. Its formation energy is 21 kJ per mole of atoms. As for the theoretical density: 14919 kg/m3. The calculation puts the density of states at the Fermi level at 26.36 states/eV/cell. The calculation puts the energy relative to the lowest polymorph listed for this composition at 328 meV per atom.

Cell: 6.2146 6.2146 6.2146 Å, 90.00 90.00 90.00°
Last column: nearest neighbours and their distance in Å.
Space group Fm-3m (No. 225)
Asymmetric unit:
Np: 0.0000 0.0000 0.0000 (multiplicity 4)  8 Mn 2.69
Mn: 0.2500 0.2500 0.2500 (multiplicity 8)  4 Np 2.69, 4 Ir 2.69
Ir: 0.0000 0.0000 0.5000 (multiplicity 4)  8 Mn 2.69



La2Dy5Th2 | GGA-PBE | relaxed

The value obtained for the total magnetization is 0.00 μB/f.u. Its formation energy is 23 kJ per mole of atoms. As for the theoretical density: 8143 kg/m3. The calculation puts the density of states at the Fermi level at 27.07 states/eV/cell.

Cell: 22.5040 3.4990 8.1594 Å, 90.00 99.34 90.00°
Last column: nearest neighbours and their distance in Å.
Space group C2/m (No. 12)
Asymmetric unit:
La: 0.1766 0.0000 0.1450 (multiplicity 4)  2 La 3.50, 4 Dy 3.56-3.68
Dy: 0.0000 0.0000 0.0000 (multiplicity 2)  4 Dy 3.26-3.50, 4 Th 3.41
Dy: 0.0901 0.0000 0.7248 (multiplicity 4)  5 Dy 3.26-3.50, 4 Th 3.48-3.60
Dy: 0.1921 0.5000 0.5459 (multiplicity 4)  1 Th 3.30, 6 Dy 3.32-3.50, 3 La 3.56-3.68
Th: 0.0512 0.5000 0.3538 (multiplicity 4)  7 Dy 3.30-3.60, 3 Th 3.50-3.58



MgInCu6 | GGA-PBE | relaxed

The value obtained for the total magnetization is 0.00 μB/f.u. Its formation energy is -3 kJ per mole of atoms. As for the theoretical density: 7735 kg/m3. The calculation puts the density of states at the Fermi level at 4.77 states/eV/cell.

Cell: 4.3631 5.6892 9.0014 Å, 90.00 90.00 90.00°
Last column: nearest neighbours and their distance in Å.
Space group Amm2 (No. 38)
Asymmetric unit:
Mg: 0.0000 0.0000 0.0000 (multiplicity 2)  12 Cu 2.66-2.85
In: 0.5000 0.0000 0.2998 (multiplicity 2)  12 Cu 2.65-2.85
Cu: 0.0000 0.0000 0.4901 (multiplicity 2)  8 Cu 2.57-2.76, 2 In 2.77, 2 Mg 2.85
Cu: 0.0000 0.2224 0.7383 (multiplicity 4)  7 Cu 2.53-2.76, 2 Mg 2.66-2.67, 2 In 2.75
Cu: 0.5000 0.0000 0.8128 (multiplicity 2)  8 Cu 2.60-2.72, 2 Mg 2.76, 2 In 2.85
Cu: 0.5000 0.2265 0.5613 (multiplicity 4)  7 Cu 2.58-2.72, 2 In 2.65-2.68, 2 Mg 2.74



K3SrN | GGA-PBE | relaxed

The value obtained for the total magnetization is 0.00 μB/f.u. As for the theoretical density: 774 kg/m3. The calculation puts the density of states at the Fermi level at 18.26 states/eV/cell. The value obtained for the raw formation energy is 1.690 eV per atom. The calculation puts the energy relative to the lowest polymorph listed for this composition at 1096 meV per atom.

Cell: 7.7731 7.7731 7.7731 Å, 90.00 90.00 90.00°
Last column: nearest neighbours and their distance in Å.
Space group Pm-3m (No. 221)
Asymmetric unit:
K: 0.0000 0.0000 0.5000 (multiplicity 3)  2 Sr 3.89
Sr: 0.0000 0.0000 0.0000 (multiplicity 1)  6 K 3.89
N: 0.5000 0.5000 0.5000 (multiplicity 1)  12 K 5.50



CaTbBi2 | GGA-PBE | relaxed

The value obtained for the total magnetization is 0.00 μB/f.u. Its formation energy is -64 kJ per mole of atoms. As for the theoretical density: 7421 kg/m3. The calculation puts the density of states at the Fermi level at 10.78 states/eV/cell. The calculation puts the energy relative to the lowest polymorph listed for this composition at 79 meV per atom.

Cell: 4.7135 4.7135 21.5244 Å, 90.00 90.00 120.00°
Last column: nearest neighbours and their distance in Å.
Space group R3m (No. 160, hexagonal axes)
Asymmetric unit:
Ca: 0.0000 0.0000 0.0000 (multiplicity 3)  6 Bi 3.26-3.32
Tb: 0.0000 0.0000 0.8261 (multiplicity 3)  6 Bi 3.18-3.29
Bi: 0.0000 0.0000 0.4165 (multiplicity 3)  3 Tb 3.18, 3 Ca 3.26, 1 Bi 3.48
Bi: 0.0000 0.0000 0.5784 (multiplicity 3)  3 Tb 3.29, 3 Ca 3.32, 1 Bi 3.48



BaBeGe | GGA-PBE | relaxed

The value obtained for the total magnetization is 0.00 μB/f.u. Its formation energy is -25 kJ per mole of atoms. As for the theoretical density: 4861 kg/m3. The calculation puts the density of states at the Fermi level at 1.15 states/eV/cell.

Cell: 4.1719 4.1719 4.9624 Å, 90.00 90.00 120.00°
Last column: nearest neighbours and their distance in Å.
Space group P-6m2 (No. 187)
Asymmetric unit:
Ba: 0.0000 0.0000 0.0000 (multiplicity 1)  6 Be 3.46, 6 Ge 3.46
Be: 0.6667 0.3333 0.5000 (multiplicity 1)  3 Ge 2.41
Ge: 0.3333 0.6667 0.5000 (multiplicity 1)  3 Be 2.41



Ti2I3Br | GGA-PBE | relaxed

The value obtained for the total magnetization is 0.00 μB/f.u. As for the theoretical density: 4852 kg/m3. The calculation puts the density of states at the Fermi level at 10.25 states/eV/cell. The value obtained for the raw formation energy is -0.792 eV per atom. The calculation puts the energy relative to the lowest polymorph listed for this composition at 0 meV per atom.

Cell: 17.5249 3.6781 13.1402 Å, 90.00 115.94 90.00°
Last column: nearest neighbours and their distance in Å.
Space group C2/m (No. 12)
Asymmetric unit:
Ti: 0.2421 0.0000 0.3363 (multiplicity 4)  1 Br 2.58, 4 I 2.80-2.86
Ti: 0.2468 0.5000 0.1570 (multiplicity 4)  2 Br 2.65, 3 I 2.76-2.85
I: 0.1136 0.5000 0.2152 (multiplicity 4)  3 Ti 2.76-2.80
I: 0.1506 0.0000 0.9817 (multiplicity 4)  3 Ti 2.85-3.07
I: 0.1536 0.0000 0.4923 (multiplicity 4)  3 Ti 2.86-3.07
Br: 0.1389 0.5000 0.7294 (multiplicity 4)  3 Ti 2.58-2.65



TmZnInF6 | GGA-PBE | relaxed

The value obtained for the total magnetization is 0.00 μB/f.u. As for the theoretical density: 4662 kg/m3. The calculation puts the density of states at the Fermi level at 0.00 states/eV/cell. The value obtained for the raw formation energy is -2.958 eV per atom.

Cell: 5.7305 5.7305 5.8007 Å, 90.00 90.00 120.00°
Last column: nearest neighbours and their distance in Å.
Space group P312 (No. 149)
Asymmetric unit:
Tm: 0.0000 0.0000 0.0000 (multiplicity 1)  6 F 2.16
Zn: 0.3333 0.6667 0.0000 (multiplicity 1)  6 F 2.08
In: 0.6667 0.3333 0.5000 (multiplicity 1)  6 F 2.81
F: 0.0530 0.3430 0.1964 (multiplicity 6)  1 Zn 2.08, 1 Tm 2.16



MnCu2Cl | GGA-PBE | relaxed

The value obtained for the total magnetization is 4.25 μB/f.u. As for the theoretical density: 5379 kg/m3. The calculation puts the density of states at the Fermi level at 1.55 states/eV/cell. The value obtained for the raw formation energy is 0.094 eV per atom. The calculation puts the energy relative to the lowest polymorph listed for this composition at 82 meV per atom.

Cell: 3.1029 3.1029 6.9737 Å, 90.00 90.00 90.00°
Last column: nearest neighbours and their distance in Å.
Space group P4mm (No. 99)
Asymmetric unit:
Mn: 0.0000 0.0000 0.0000 (multiplicity 1)  5 Cu 2.65-2.69, 4 Cl 2.65
Cu: 0.0000 0.0000 0.6202 (multiplicity 1)  4 Cu 2.45, 1 Mn 2.65
Cu: 0.5000 0.5000 0.7778 (multiplicity 1)  4 Cu 2.45, 4 Mn 2.69
Cl: 0.5000 0.5000 0.2131 (multiplicity 1)  4 Mn 2.65



Sc2TiGeN | GGA-PBE | relaxed

The value obtained for the total magnetization is 0.69 μB/f.u. As for the theoretical density: 4722 kg/m3. The calculation puts the density of states at the Fermi level at 4.26 states/eV/cell. The value obtained for the raw formation energy is -1.077 eV per atom. The calculation puts the energy relative to the lowest polymorph listed for this composition at 0 meV per atom.

Cell: 4.4069 4.4069 4.0637 Å, 90.00 90.00 90.00°
Last column: nearest neighbours and their distance in Å.
Space group P4/mmm (No. 123)
Asymmetric unit:
Sc: 0.0000 0.5000 0.0000 (multiplicity 2)  2 N 2.20
Ti: 0.0000 0.0000 0.5000 (multiplicity 1)  2 N 2.03
Ge: 0.5000 0.5000 0.5000 (multiplicity 1)  8 Sc 3.00, 4 Ti 3.12
N: 0.0000 0.0000 0.0000 (multiplicity 1)  2 Ti 2.03, 4 Sc 2.20



Be2PBr | GGA-PBE | relaxed

The value obtained for the total magnetization is 0.00 μB/f.u. As for the theoretical density: 3389 kg/m3. The calculation puts the density of states at the Fermi level at 1.44 states/eV/cell. The value obtained for the raw formation energy is 0.547 eV per atom. The calculation puts the energy relative to the lowest polymorph listed for this composition at 949 meV per atom.

Cell: 3.0678 3.0678 6.7104 Å, 90.00 90.00 90.00°
Last column: nearest neighbours and their distance in Å.
Space group P4/mmm (No. 123)
Asymmetric unit:
Be: 0.0000 0.0000 0.1579 (multiplicity 2)  1 Be 2.12
P: 0.5000 0.5000 0.0000 (multiplicity 1)  8 Be 2.41
Br: 0.5000 0.5000 0.5000 (multiplicity 1)  4 Br 3.07, 8 Be 3.16, 2 P 3.36



TbZn8Ga2Cu | GGA-PBE | relaxed

The value obtained for the total magnetization is 0.00 μB/f.u. Its formation energy is -9 kJ per mole of atoms. As for the theoretical density: 7161 kg/m3. The calculation puts the density of states at the Fermi level at 6.02 states/eV/cell.

Cell: 7.4092 4.9140 11.5051 Å, 90.00 101.47 90.00°
Last column: nearest neighbours and their distance in Å.
Space group C2/m (No. 12)
Asymmetric unit:
Tb: 0.0000 0.0000 0.0000 (multiplicity 2)  6 Ga 2.89-3.09, 2 Zn 3.01
Zn: 0.0475 0.2483 0.3170 (multiplicity 8)  4 Zn 2.44-2.71, 1 Cu 2.52, 1 Ga 2.60
Zn: 0.1725 0.5000 0.5396 (multiplicity 4)  7 Zn 2.54-2.83, 3 Cu 2.56-2.77
Zn: 0.2410 0.5000 0.1711 (multiplicity 4)  3 Ga 2.64-2.74, 4 Zn 2.71-2.82
Ga: 0.1228 0.5000 0.8725 (multiplicity 4)  5 Zn 2.60-2.74, 1 Tb 2.89
Cu: 0.0000 0.0000 0.5000 (multiplicity 2)  10 Zn 2.52-2.77



NiW2Se | GGA-PBE | relaxed

The value obtained for the total magnetization is 0.00 μB/f.u. As for the theoretical density: 13522 kg/m3. The calculation puts the density of states at the Fermi level at 9.68 states/eV/cell. The value obtained for the raw formation energy is 0.677 eV per atom.

Cell: 3.1981 4.4294 8.7612 Å, 90.00 90.00 90.00°
Last column: nearest neighbours and their distance in Å.
Space group Cmmm (No. 65)
Asymmetric unit:
Ni: 0.0000 0.0000 0.0000 (multiplicity 2)  4 W 2.57, 4 Ni 2.73
W: 0.0000 0.5000 0.2295 (multiplicity 4)  2 Ni 2.57, 4 W 2.73, 2 Se 2.86
Se: 0.0000 0.0000 0.5000 (multiplicity 2)  4 Se 2.73, 4 W 2.86



RbScReO6 | GGA-PBE | relaxed

The value obtained for the total magnetization is 1.07 μB/f.u. As for the theoretical density: 4274 kg/m3. The value obtained for the raw formation energy is -1.990 eV per atom.

Cell: 5.4893 9.6995 6.0219 Å, 90.00 90.22 90.00°
Last column: nearest neighbours and their distance in Å.
Space group C2 (No. 5)
Asymmetric unit:
Rb: 0.0000 0.0000 0.0000 (multiplicity 2)  6 O 2.94-3.04
Sc: 0.0000 0.3171 0.5000 (multiplicity 2)  6 O 2.05-2.15
Re: 0.0000 0.6784 0.5000 (multiplicity 2)  6 O 1.85-1.96
O: 0.1028 0.5090 0.3494 (multiplicity 4)  1 Re 1.96, 1 O 2.14, 1 Sc 2.15
O: 0.1810 0.7838 0.3060 (multiplicity 4)  1 Re 1.85
O: 0.2263 0.1959 0.3118 (multiplicity 4)  1 Re 1.89, 1 Sc 2.05